Record 1
First-principles (SCAN) data for MgBe2W at its PBEsol-relaxed geometry, as listed in Alexandria.

Cell: 5.9438 6.0489 2.7491 Å, 90.00 90.00 90.00°
Closest atoms and distances in Å follow each position.
Space group Cmmm (No. 65)
Symmetry-distinct sites (fractional):
Mg  0.0000  0.0000  0.0000 (multiplicity 2)  8 Be 2.53, 2 Mg 2.75
Be  0.2500  0.2500  0.5000 (multiplicity 4)  4 Mg 2.53, 4 W 2.53, 2 Be 2.75
W  0.0000  0.5000  0.0000 (multiplicity 2)  8 Be 2.53, 2 W 2.75

Summary:
As for the density of states at the Fermi level: 1.360 states/eV/cell. The theoretical density comes out at 7.6 g/cm³. As for the magnetization: 0.000 μB/f.u. Its total energy is -20.59 eV per atom.

---

Record 2
First-principles (SCAN) data for CsSiTe2 at its PBEsol-relaxed geometry, as listed in Alexandria.

Cell: 8.3476 8.3476 9.1602 Å, 90.00 90.00 90.00°
Closest atoms and distances in Å follow each position.
Space group I-42d (No. 122)
Symmetry-distinct sites (fractional):
Cs  0.0000  0.0000  0.0000 (multiplicity 4)  8 Te 3.86-4.18
Si  0.0000  0.0000  0.5000 (multiplicity 4)  4 Te 2.64
Te  0.1367  0.2500  0.6250 (multiplicity 8)  2 Si 2.64

Summary:
As for the density of states at the Fermi level: 7.588 states/eV/cell. Its uncorrected formation energy is -8.7 kcal/mol of atoms. The theoretical density comes out at 4.3 g/cm³. As for the magnetization: 0.630 μB/f.u. Its total energy is -30.96 eV per atom.

---

Record 3
First-principles (SCAN) data for ScZn2AgCl at its PBEsol-relaxed geometry, as listed in Alexandria.

Cell: 5.3452 5.3452 4.6850 Å, 90.00 90.00 90.00°
Closest atoms and distances in Å follow each position.
Space group P4/mmm (No. 123)
Symmetry-distinct sites (fractional):
Sc  0.0000  0.0000  0.0000 (multiplicity 1)  2 Cl 2.34
Zn  0.0000  0.5000  0.0000 (multiplicity 2)  2 Sc 2.67
Ag  0.5000  0.5000  0.5000 (multiplicity 1)  8 Zn 3.55, 4 Cl 3.78
Cl  0.0000  0.0000  0.5000 (multiplicity 1)  2 Sc 2.34

Summary:
As for the density of states at the Fermi level: 2.666 states/eV/cell. Its uncorrected formation energy is 5.3 kcal/mol of atoms. The theoretical density comes out at 4.0 g/cm³. As for the magnetization: 0.000 μB/f.u. Its total energy is -15.89 eV per atom.